Here is a relaxed structure of SiIrBr2 from Alexandria. Energies are from PBE-GGA.

Calculated values
**Formation energy (no corrections)**: 0.8381 eV per atom
**Space-group type**: Cmmm, No. 65
**Electronic total energy**: -3.5693 eV/atom
**Volume**: 21.155 Å³/atom
**Total magnetic moment**: 0.0 μB/f.u.
**Relative energy among the computed polymorphs**: 1.011 eV per atom
**DOS at the Fermi energy**: 3.239 states/eV/cell

a = 3.360 Å, b = 3.360 Å, c = 9.043 Å
α = 90.00°, β = 90.00°, γ = 124.02°
Positions (direct):
Si 0.000 0.000 0.000
Ir 0.000 0.000 0.500
Br 0.500 0.500 0.281
Br 0.500 0.500 0.719